DFT (PBE with a Hubbard U) results for an optimized crystal structure of Na2TbVF8.

Calculated values
final energy: -5.72 eV/atom
magnetic moment: 2.0 μB per formula unit

a = 5.1325 Å, b = 5.1424 Å, c = 6.7787 Å
α = 90.01°, β = 90.00°, γ = 91.30°
Last column: nearest neighbours and their distance in Å.
Fractional coordinates of all 12 atoms:
1 Na 0.5000 0.5000 0.7613  6 F 2.28-2.36
2 Na 0.5000 0.5000 0.2387  6 F 2.28-2.36
3 Tb 0.0000 0.0000 0.5000  6 F 2.15-2.26
4 V 0.0000 0.0000 0.0000  6 F 1.92-2.04
5 F 0.1798 0.8213 0.2289  1 V 2.04, 1 Tb 2.26
6 F 0.7325 0.7319 0.0000  1 V 1.92
7 F 0.8203 0.1787 0.2289  1 V 2.03, 1 Tb 2.26
8 F 0.8202 0.1787 0.7711  1 V 2.04, 1 Tb 2.26
9 F 0.2675 0.2681 0.0000  1 V 1.92
10 F 0.1797 0.8213 0.7711  1 V 2.03, 1 Tb 2.26
11 F 0.7011 0.7005 0.5000  1 Tb 2.15, 2 Na 2.28
12 F 0.2989 0.2995 0.5000  1 Tb 2.15, 2 Na 2.28